P | First-principles (PBE) data for a geometry-optimized Pr3ScSe6 structure, as listed in the Alexandria database.

Cell and atoms, written as extended XYZ:
```
20
Lattice="7.153 0.000 0.000 0.000 9.237 0.041 0.000 -2.021 9.014" Properties=species:S:1:pos:R:3 pbc="T T T"
Se 4.690 0.489 7.013
Se 1.292 -1.635 8.706
Pr 2.810 2.503 5.408
Se 4.914 2.102 3.313
Pr 7.037 4.763 8.289
Se 4.869 8.851 0.349
Pr 3.460 7.017 6.493
Sc 0.116 0.192 7.250
Se 1.337 2.760 2.788
Se 5.003 7.443 3.947
Se 1.114 6.727 2.041
Pr 6.387 4.713 3.647
Se 5.003 5.030 0.919
Pr 7.037 0.199 2.562
Se 1.426 -0.227 5.108
Se 1.337 5.114 5.742
Se 1.426 2.186 8.136
Sc 3.693 7.024 1.805
Se 4.914 4.456 6.266
Pr 3.460 2.453 0.766
```

Calculated values
symmetry	No. 36
crystal system	orthorhombic
V	29.81	Å³ per atom
density of states at the Fermi level	0.00	states/eV/cell


Q | First-principles (PBE) data for a geometry-optimized Pr3ScSe6 structure, as listed in the Alexandria database.

Cell and atoms, written as extended XYZ:
```
20
Lattice="-5.219 6.132 -2.593 -5.699 -4.709 4.112 3.249 4.004 6.706" Properties=species:S:1:pos:R:3 pbc="T T T"
Se -1.094 0.754 8.980
Se -2.873 8.283 2.353
Se -8.773 -0.021 2.332
Pr -3.187 -1.114 4.164
Se -1.612 1.419 5.007
Se -4.787 0.745 2.491
Se -6.575 4.672 -0.755
Pr -7.580 1.725 4.348
Pr -3.175 2.517 7.932
Sc 0.000 0.000 0.000
Pr -4.493 2.909 0.292
Se -2.637 4.231 2.195
Se -5.031 1.195 6.030
Se 1.105 5.448 5.893
Sc -3.834 2.713 4.112
Pr -4.481 6.540 4.061
Se -4.795 -2.856 5.872
Pr -0.088 3.702 3.876
Se -2.881 4.682 5.734
Se -6.056 4.007 3.218
```

Calculated values
symmetry	No. 148
crystal system	trigonal
V	29.32	Å³ per atom


The data favor Q; the next most stable structure lies 1.0 kJ/mol of atoms above it.


P | First-principles (PBE) data for a geometry-optimized Pr2ScSi2 structure, as listed in the Alexandria database.

Cell and atoms, written as extended XYZ:
```
5
Lattice="-0.446 2.595 3.364 -3.932 -2.295 3.962 2.024 -2.653 5.028" Properties=species:S:1:pos:R:3 pbc="T T T"
Pr -2.843 -0.777 7.003
Sc -2.189 0.150 3.663
Pr 0.489 -1.577 5.350
Si -2.142 -1.101 10.058
Si -0.211 -1.253 2.295
```

Calculated values
symmetry	No. 71
crystal system	orthorhombic
V	24.66	Å³ per atom
density of states at the Fermi level	4.99	states/eV/cell


Q | First-principles (PBE) data for a geometry-optimized Pr2ScSi2 structure, as listed in the Alexandria database.

Cell and atoms, written as extended XYZ:
```
10
Lattice="7.417 0.000 0.000 0.000 7.417 0.000 0.000 0.000 4.458" Properties=species:S:1:pos:R:3 pbc="T T T"
Si 6.544 2.836 0.000
Sc 3.708 3.708 0.000
Pr 5.028 1.320 2.229
Pr 2.388 6.097 2.229
Pr 1.320 2.388 2.229
Pr 6.097 5.028 2.229
Si 0.872 4.580 0.000
Si 4.580 6.544 0.000
Si 2.836 0.872 0.000
Sc 0.000 0.000 0.000
```

Calculated values
symmetry	No. 127
crystal system	tetragonal
V	24.52	Å³ per atom
density of states at the Fermi level	7.48	states/eV/cell


R | First-principles (PBE) data for a geometry-optimized Pr2ScSi2 structure, as listed in the Alexandria database.

Cell and atoms, written as extended XYZ:
```
10
Lattice="-2.909 -1.892 -2.612 0.973 -6.372 -0.078 -6.942 -2.863 6.193" Properties=species:S:1:pos:R:3 pbc="T T T"
Pr -7.535 -8.536 3.741
Pr -1.343 -2.592 -0.237
Pr -5.847 -5.064 2.958
Si -3.110 -3.541 2.417
Sc -4.774 -3.041 0.297
Si -5.768 -7.587 1.086
Si -8.955 -5.190 2.898
Si 0.077 -5.938 0.605
Sc -4.104 -8.087 3.206
Pr -3.031 -6.064 0.545
```

Calculated values
symmetry	No. 12
crystal system	monoclinic
V	24.86	Å³ per atom
density of states at the Fermi level	8.19	states/eV/cell


The data favor Q; the next most stable structure lies 1.6 kJ/mol of atoms above it.


P | First-principles (PBE) data for a geometry-optimized Pr2Sm8Sc structure, as listed in the Alexandria database.

Cell and atoms, written as extended XYZ:
```
11
Lattice="-4.841 0.323 3.370 2.650 -3.928 6.934 1.482 7.123 4.196" Properties=species:S:1:pos:R:3 pbc="T T T"
Sm -2.582 4.354 6.459
Sc 0.000 0.000 0.000
Sm -1.986 -1.290 7.857
Sm 0.360 1.440 5.657
Sm -1.069 2.078 8.843
Sm 1.277 4.807 6.643
Sm 1.873 -0.836 8.042
Sm 2.495 2.358 8.454
Sm -3.204 1.159 6.047
Pr 1.125 2.912 11.274
Pr -1.833 0.606 3.227
```

Calculated values
symmetry	No. 12
crystal system	monoclinic
V	36.53	Å³ per atom
density of states at the Fermi level	14.78	states/eV/cell


Q | First-principles (PBE) data for a geometry-optimized Pr2Sm8Sc structure, as listed in the Alexandria database.

Cell and atoms, written as extended XYZ:
```
11
Lattice="4.941 0.000 -1.316 -0.531 7.811 -1.994 -0.103 -0.086 9.547" Properties=species:S:1:pos:R:3 pbc="T T T"
Pr 0.732 4.936 2.749
Sm 0.539 1.347 2.025
Pr 3.575 2.788 3.489
Sc 2.470 0.000 -0.658
Sm 2.653 3.474 0.028
Sm 2.837 7.071 0.720
Sm 3.768 6.378 4.213
Sm 1.469 0.654 5.518
Sm 1.654 4.251 6.210
Sm 4.485 2.023 6.906
Sm -0.178 5.701 -0.669
```

Calculated values
symmetry	No. 12
crystal system	monoclinic
V	33.32	Å³ per atom
density of states at the Fermi level	16.87	states/eV/cell


The data favor Q; the next most stable structure lies 36.1 kJ/mol of atoms above it.


P | First-principles (PBE) data for a geometry-optimized PrSm8Sc2 structure, as listed in the Alexandria database.

Cell and atoms, written as extended XYZ:
```
11
Lattice="5.665 1.604 0.000 2.610 8.605 0.000 1.305 4.303 8.066" Properties=species:S:1:pos:R:3 pbc="T T T"
Pr 2.832 0.802 0.000
Sm 4.332 11.308 6.119
Sm 5.247 3.204 1.948
Sm 5.442 9.407 3.364
Sm 4.137 5.105 4.702
Sm 5.510 6.091 0.000
Sm 6.552 7.506 6.119
Sc 2.610 8.605 4.999
Sc 1.305 4.303 3.068
Sm 3.028 7.006 1.948
Sm 2.764 4.118 0.000
```

Calculated values
symmetry	No. 12
crystal system	monoclinic
V	32.67	Å³ per atom
density of states at the Fermi level	15.52	states/eV/cell


Q | First-principles (PBE) data for a geometry-optimized PrSm8Sc2 structure, as listed in the Alexandria database.

Cell and atoms, written as extended XYZ:
```
11
Lattice="-4.900 1.630 1.891 -3.131 -0.448 -7.725 2.008 -8.076 4.165" Properties=species:S:1:pos:R:3 pbc="T T T"
Sm -0.653 -2.435 0.406
Sm -5.229 -1.658 -4.124
Pr -2.450 0.815 0.946
Sm -2.064 -5.418 -0.678
Sc -3.655 -3.678 1.695
Sc -2.368 -3.216 -3.364
Sm -5.370 -4.460 -2.075
Sm -3.836 -6.581 3.729
Sm -2.188 -0.313 -5.398
Sm -0.794 -5.236 2.455
Sm -3.959 -1.476 -0.991
```

Calculated values
symmetry	No. 71
crystal system	orthorhombic
V	32.76	Å³ per atom
density of states at the Fermi level	17.06	states/eV/cell


The data favor Q; the next most stable structure lies 3.5 kJ/mol of atoms above it.


P | First-principles (PBE) data for a geometry-optimized Pr2Sm5Sc structure, as listed in the Alexandria database.

Cell and atoms, written as extended XYZ:
```
8
Lattice="-0.935 2.192 4.514 3.345 -3.149 2.222 6.252 7.191 -5.082" Properties=species:S:1:pos:R:3 pbc="T T T"
Sm 1.328 2.712 1.844
Sc 0.000 0.000 0.000
Sm 5.195 6.192 0.955
Pr 3.734 3.361 -0.858
Sm 7.335 3.521 -0.190
Pr 4.928 2.872 2.512
Sm 1.205 -0.479 3.368
Sm 3.468 0.041 0.698
```

Calculated values
symmetry	No. 139
crystal system	tetragonal
V	33.14	Å³ per atom
density of states at the Fermi level	13.21	states/eV/cell


Q | First-principles (PBE) data for a geometry-optimized Pr2Sm5Sc structure, as listed in the Alexandria database.

Cell and atoms, written as extended XYZ:
```
16
Lattice="5.648 0.000 0.000 -2.824 5.970 0.000 0.000 0.000 16.048" Properties=species:S:1:pos:R:3 pbc="T T T"
Pr 0.000 2.634 10.188
Sm 0.000 0.944 6.519
Sm 2.824 1.410 15.211
Sm 2.824 5.026 14.543
Sm 2.824 5.026 9.529
Sm 0.000 5.583 12.036
Sc 2.824 2.865 12.036
Pr 2.824 3.336 2.164
Sm 0.000 4.559 0.837
Sm 2.824 0.387 4.012
Sm 0.000 0.944 1.505
Sm 2.824 1.410 8.861
Sm 0.000 4.559 7.187
Sc 0.000 3.105 4.012
Pr 2.824 3.336 5.860
Pr 0.000 2.634 13.883
```

Calculated values
symmetry	No. 63
crystal system	orthorhombic
V	33.82	Å³ per atom
density of states at the Fermi level	26.41	states/eV/cell


The data favor P; the next most stable structure lies 8.7 kJ/mol of atoms above it.


P | First-principles (PBE) data for a geometry-optimized Pr3Sm4Sc structure, as listed in the Alexandria database.

Cell and atoms, written as extended XYZ:
```
16
Lattice="-4.977 -0.367 3.882 -2.622 -5.632 -3.893 5.860 -7.434 6.808" Properties=species:S:1:pos:R:3 pbc="T T T"
Sm -3.204 -7.004 0.233
Pr -5.042 -5.712 3.069
Sm -3.050 -4.981 -2.814
Sm -3.539 -0.951 2.007
Pr 1.219 -5.883 2.512
Pr -2.097 -9.447 6.490
Pr -4.855 -3.757 0.076
Sm -0.806 -6.700 8.484
Sc -1.698 -2.156 -0.893
Sc -1.920 -7.483 3.466
Sm -0.644 -4.663 5.447
Pr 1.017 -7.870 5.482
Pr -1.899 -4.172 2.096
Sm -3.812 -2.886 4.992
Sm -0.077 -8.687 0.564
Sm -0.351 -10.624 3.548
```

Calculated values
symmetry	No. 31
crystal system	orthorhombic
V	33.78	Å³ per atom
density of states at the Fermi level	28.08	states/eV/cell


Q | First-principles (PBE) data for a geometry-optimized Pr3Sm4Sc structure, as listed in the Alexandria database.

Cell and atoms, written as extended XYZ:
```
8
Lattice="-2.646 -2.301 0.379 0.475 -2.446 -11.534 5.385 -2.374 6.764" Properties=species:S:1:pos:R:3 pbc="T T T"
Pr 1.165 -4.859 -4.956
Sm 3.283 -4.118 -2.089
Sc -1.323 -1.151 0.190
Sm 3.037 -2.861 3.831
Sm 0.177 -4.261 -8.222
Pr 0.237 -1.223 -5.767
Pr 2.049 -2.263 0.565
Sm -0.068 -3.003 -2.302
```

Calculated values
symmetry	No. 71
crystal system	orthorhombic
V	33.89	Å³ per atom
density of states at the Fermi level	10.81	states/eV/cell


The data favor P; the next most stable structure lies 7.1 kJ/mol of atoms above it.


P | First-principles (PBE) data for a geometry-optimized Pr3Sm3Sc2 structure, as listed in the Alexandria database.

Cell and atoms, written as extended XYZ:
```
8
Lattice="-1.325 -3.698 -3.955 5.460 -1.827 -0.121 -3.734 -2.752 7.752" Properties=species:S:1:pos:R:3 pbc="T T T"
Sm 2.067 -2.763 -2.038
Pr 2.507 -2.545 1.539
Pr 0.000 0.000 0.000
Sm -1.354 -3.317 -0.374
Sc 0.895 -5.402 0.822
Sc -0.494 -2.875 2.853
Pr -2.106 -5.732 2.136
Sm 1.755 -4.960 4.049
```

Calculated values
symmetry	No. 12
crystal system	monoclinic
V	32.56	Å³ per atom
density of states at the Fermi level	12.90	states/eV/cell


Q | First-principles (PBE) data for a geometry-optimized Pr3Sm3Sc2 structure, as listed in the Alexandria database.

Cell and atoms, written as extended XYZ:
```
8
Lattice="-1.153 -2.144 4.447 4.604 -2.050 0.205 3.399 8.113 4.792" Properties=species:S:1:pos:R:3 pbc="T T T"
Pr 4.002 3.031 2.499
Sm 2.570 -0.082 3.516
Sc 0.845 2.016 1.191
Sc 2.554 6.097 3.601
Pr 1.123 2.984 4.620
Sm 4.280 4.001 5.928
Sm -0.577 -1.072 2.224
Pr 2.302 -1.025 0.103
```

Calculated values
symmetry	No. 47
crystal system	orthorhombic
V	32.02	Å³ per atom
density of states at the Fermi level	10.94	states/eV/cell


The data favor Q; the next most stable structure lies 3.7 kJ/mol of atoms above it.


P | First-principles (PBE) data for a geometry-optimized PrSmSc structure, as listed in the Alexandria database.

Cell and atoms, written as extended XYZ:
```
3
Lattice="-0.104 -0.138 3.570 -1.808 -3.078 -0.172 7.315 -2.130 -1.659" Properties=species:S:1:pos:R:3 pbc="T T T"
Sc 1.150 -2.846 1.712
Pr 4.162 -2.446 0.026
Sm 0.092 -0.054 0.001
```

Calculated values
symmetry	No. 107
crystal system	tetragonal
V	31.41	Å³ per atom
density of states at the Fermi level	5.07	states/eV/cell


Q | First-principles (PBE) data for a geometry-optimized PrSmSc structure, as listed in the Alexandria database.

Cell and atoms, written as extended XYZ:
```
6
Lattice="-2.444 -1.796 -3.983 -2.189 -1.764 2.139 -6.503 8.343 0.229" Properties=species:S:1:pos:R:3 pbc="T T T"
Sc -10.125 5.408 -1.555
Sc -6.817 5.917 -0.667
Pr -5.773 -0.177 -1.707
Pr -4.667 3.158 -0.742
Sm -2.324 0.150 -0.825
Sm -8.116 2.832 -1.624
```

Calculated values
symmetry	No. 59
crystal system	orthorhombic
V	31.18	Å³ per atom
density of states at the Fermi level	9.05	states/eV/cell


The data favor P; the next most stable structure lies 0.6 kJ/mol of atoms above it.